No. 1
V2NiHIr, relaxed, DFT PBE; final energy = -0.278 hartree per atom; V = 10.67 Å³ per atom
1.0
-0.762 -2.255 2.926
2.316 -2.620 -1.415
2.861 1.501 1.902
H V Ni Ir
1 2 1 1
direct
0.000 0.000 0.000
0.500 0.000 0.000
0.000 0.500 0.000
0.000 0.000 0.500
0.500 0.500 0.500

No. 2
HoTmAgRu, relaxed, DFT PBE; energy of formation = -452 meV per atom; V = 21.41 Å³ per atom
1.0
3.390 0.000 0.000
0.000 3.390 0.000
0.000 0.000 7.451
Ru Tm Ho Ag
1 1 1 1
direct
0.000 0.000 0.568
0.500 0.500 0.349
0.500 0.500 0.792
0.000 0.000 0.075

No. 3
KSeCl2, relaxed, DFT PBE; formation energy without anion corrections = -670 meV/atom; V = 31.30 Å³ per atom
1.0
-1.007 -2.287 5.102
5.255 0.429 -1.864
3.396 3.610 2.428
Cl K Se
2 1 1
direct
0.000 0.000 0.000
0.500 0.000 0.500
0.000 0.500 0.500
0.500 0.500 0.000

No. 4
KRePt3, relaxed, DFT PBE; energy of formation = 2740 meV per atom; V = 22.62 Å³ per atom
1.0
-3.617 -0.829 3.101
3.209 -0.785 3.532
-0.102 4.699 1.138
Re Pt K
1 3 1
direct
0.500 0.500 0.500
0.000 0.500 0.000
0.000 0.000 0.500
0.500 0.000 0.000
0.000 0.000 0.000

No. 5
SrRh2Pb, relaxed, DFT PBE; energy of formation = -6 meV per atom; V = 20.67 Å³ per atom
1.0
-3.611 1.827 -4.029
-1.499 -3.570 -4.198
0.314 -0.056 5.702
Pb Rh Sr
1 2 1
direct
0.750 0.250 0.500
0.250 0.750 0.500
0.000 0.000 0.000
0.500 0.500 0.000

No. 6
Ti2AlNi4, relaxed, DFT PBE; energy of formation = 398 meV per atom; V = 15.54 Å³ per atom
1.0
-0.163 3.170 -2.752
-4.177 -0.398 -0.211
-2.786 5.389 3.166
Ni Al Ti
4 1 2
direct
0.190 0.190 0.619
0.000 0.500 0.000
0.500 0.000 0.000
0.810 0.810 0.381
0.000 0.000 0.000
0.627 0.627 0.746
0.373 0.373 0.254

No. 7
LaAlTcO6, relaxed, DFT PBE; formation energy without anion corrections = -2220 meV/atom; V = 12.54 Å³ per atom
1.0
4.856 0.000 0.000
0.000 4.856 0.000
0.000 0.000 9.574
Tc La O Al
2 2 12 2
direct
0.000 0.000 0.664
0.500 0.500 0.164
0.500 0.500 0.494
0.000 0.000 0.994
0.767 0.233 0.195
0.733 0.733 0.695
0.233 0.767 0.195
0.772 0.228 0.806
0.668 0.668 0.000
0.228 0.772 0.806
0.832 0.168 0.500
0.168 0.832 0.500
0.272 0.272 0.306
0.267 0.267 0.695
0.728 0.728 0.306
0.332 0.332 0.000
0.500 0.500 0.840
0.000 0.000 0.340

No. 8
Sm4Dy5Y3, relaxed, DFT PBE; energy of formation = 236 meV per atom; V = 33.32 Å³ per atom
1.0
5.912 0.000 0.000
2.956 7.565 -2.806
2.956 -0.701 9.200
Sm Dy Y
4 5 3
direct
0.138 0.779 0.946
0.862 0.221 0.054
0.835 0.950 0.380
0.165 0.050 0.620
0.629 0.943 0.799
0.214 0.458 0.114
0.786 0.542 0.886
0.500 0.500 0.500
0.371 0.057 0.201
0.477 0.312 0.733
0.000 0.500 0.500
0.523 0.688 0.267

No. 9
PmTeS, relaxed, DFT PBE; formation energy without anion corrections = -1247 meV/atom; V = 26.28 Å³ per atom
1.0
3.769 0.000 0.000
0.000 3.769 0.000
-1.885 -1.885 5.550
Pm Te S
1 1 1
direct
0.633 0.633 0.266
0.326 0.326 0.653
0.041 0.041 0.081

No. 10
NpInPb2Cl8, relaxed, DFT PBE; formation energy without anion corrections = -1277 meV/atom; V = 34.36 Å³ per atom
1.0
6.853 0.015 -0.004
0.058 6.705 -0.008
0.006 0.010 8.973
Np Cl Pb In
1 8 2 1
direct
0.000 0.000 0.000
0.359 0.279 0.500
0.161 0.766 0.781
0.683 0.747 0.000
0.317 0.253 0.000
0.161 0.766 0.219
0.839 0.234 0.781
0.839 0.234 0.219
0.641 0.721 0.500
0.500 0.500 0.253
0.500 0.500 0.747
0.000 0.000 0.500

No. 11
Tb7Te4P4, relaxed, DFT PBE; formation energy without anion corrections = -1306 meV/atom; V = 26.63 Å³ per atom
1.0
-5.404 -4.560 2.079
2.375 -10.272 -3.289
2.231 -4.022 10.041
Tb P Te
14 8 8
direct
0.000 0.291 0.709
0.757 0.000 0.000
0.284 0.000 0.433
0.716 0.567 0.000
0.291 0.709 0.709
0.284 0.433 0.000
0.866 0.634 0.634
0.500 0.366 0.634
0.243 0.000 0.000
0.709 0.291 0.291
0.500 0.634 0.366
0.134 0.366 0.366
0.000 0.709 0.291
0.716 0.000 0.567
0.106 0.500 0.788
0.394 0.500 0.212
0.894 0.212 0.500
0.394 0.212 0.500
0.606 0.788 0.500
0.894 0.500 0.212
0.606 0.500 0.788
0.106 0.788 0.500
0.873 0.000 0.255
0.127 0.745 0.000
0.669 0.831 0.831
0.500 0.169 0.831
0.873 0.255 0.000
0.331 0.169 0.169
0.127 0.000 0.745
0.500 0.831 0.169

No. 12
Ta2FeNi2, relaxed, DFT PBE; energy of formation = -61 meV per atom; V = 13.91 Å³ per atom
1.0
6.627 0.000 0.000
0.000 6.627 0.000
0.000 0.000 3.168
Fe Ni Ta
2 4 4
direct
0.500 0.500 0.000
0.000 0.000 0.000
0.876 0.624 0.000
0.624 0.124 0.000
0.376 0.876 0.000
0.124 0.376 0.000
0.820 0.320 0.500
0.320 0.180 0.500
0.680 0.820 0.500
0.180 0.680 0.500